This record from Alexandria via LeMat-Bulk describes a geometry-optimized Li2LaAu8 structure. The functional is PBE.

The value obtained for the total energy is -0.2543 Ry/atom. The calculation puts the formation energy at -297 kJ/mol of formula units. The value obtained for the total moment is 0.00 Bohr magnetons per cell. The calculation puts the volume at 258 Å³/cell.

Cell lengths 5.513, 5.513, 8.494 Å; angles 90.00, 90.00, 90.00 degrees
Space group P4/mmm (No. 123)
Asymmetric unit:
Li1 0.000 0.500 0.000 (multiplicity 2)
La1 0.000 0.000 0.500 (multiplicity 1)
Au1 0.253 0.253 0.222 (multiplicity 8)